1.
First-principles (PBE-GGA) data for a relaxed CdPt3 crystal, as listed in Alexandria via LeMat-Bulk.

Unit cell a=2.8438 b=2.8438 c=9.4156 alpha=90.00 beta=90.00 gamma=120.00
Space group P-6m2 (No. 187)
Unique sites:
1 Cd 0.0000 0.0000 0.0000 x1
2 Pt 0.0000 0.0000 0.5000 x1
3 Pt 0.3333 0.6667 0.2508 x2

Summary:
Formation enthalpy at 0 K = -0.062 eV per atom
Raw total energy = -4.822 eV/atom
Total magnetic moment = 0.0 μB/cell

2.
First-principles (PBE-GGA) data for a relaxed Cd2Pt crystal, as listed in Alexandria via LeMat-Bulk.

Unit cell a=4.184 b=4.184 c=25.461 alpha=90.00 beta=90.00 gamma=90.00
Space group I4_1/amd (No. 141, origin choice 2)
Unique sites:
1 Cd 0.000 0.250 0.124 x8
2 Cd 0.000 0.250 0.288 x8
3 Pt 0.000 0.250 0.793 x8

Summary:
Formation enthalpy at 0 K = -0.217 eV per atom
Raw total energy = -2.840 eV/atom
Total magnetic moment = 0.0 μB/cell

3.
First-principles (PBE-GGA) data for a relaxed CdPt2 crystal, as listed in Alexandria via LeMat-Bulk.

Unit cell a=4.105 b=12.133 c=4.065 alpha=90.00 beta=90.00 gamma=90.00
Space group Cmcm (No. 63)
Unique sites:
1 Cd 0.000 0.087 0.250 x4
2 Pt 0.000 0.254 0.750 x4
3 Pt 0.000 0.416 0.250 x4

Summary:
Formation enthalpy at 0 K = -0.217 eV per atom
Raw total energy = -4.549 eV/atom
Total magnetic moment = 0.0 μB/cell

4.
First-principles (PBE-GGA) data for a relaxed CdPt4 crystal, as listed in Alexandria via LeMat-Bulk.

Unit cell a=4.868 b=4.868 c=4.868 alpha=90.00 beta=90.00 gamma=90.00
Space group Pm-3m (No. 221)
Unique sites:
1 Cd 0.000 0.000 0.000 x1
2 Pt 0.000 0.000 0.500 x3
3 Pt 0.500 0.500 0.500 x1

Summary:
Formation enthalpy at 0 K = 1.669 eV per atom
Distance to the lowest polymorph of the same formula = 1801 meV per atom
Raw total energy = -3.346 eV/atom
Total magnetic moment = 0.0 μB/cell

5.
First-principles (PBE-GGA) data for a relaxed Cd3Pt5 crystal, as listed in Alexandria via LeMat-Bulk.

Unit cell a=7.942 b=8.226 c=4.163 alpha=90.00 beta=90.00 gamma=90.00
Space group Cmmm (No. 65)
Unique sites:
1 Cd 0.000 0.000 0.000 x2
2 Cd 0.000 0.259 0.500 x4
3 Pt 0.000 0.500 0.000 x2
4 Pt 0.247 0.000 0.500 x4
5 Pt 0.250 0.250 0.000 x4

Summary:
Formation enthalpy at 0 K = -0.258 eV per atom
Distance to the lowest polymorph of the same formula = 0 meV per atom
Raw total energy = -4.377 eV/atom
Total magnetic moment = 0.0 μB/cell

6.
First-principles (PBE-GGA) data for a relaxed CdPt2 crystal, as listed in Alexandria via LeMat-Bulk.

Unit cell a=2.878 b=2.878 c=12.183 alpha=90.00 beta=90.00 gamma=90.00
Space group I4/mmm (No. 139)
Unique sites:
1 Cd 0.000 0.000 0.000 x2
2 Pt 0.000 0.000 0.331 x4

Summary:
Formation enthalpy at 0 K = -0.203 eV per atom
Raw total energy = -4.535 eV/atom
Total magnetic moment = 0.0 μB/cell

7.
First-principles (PBE-GGA) data for a relaxed Cd4Pt3 crystal, as listed in Alexandria via LeMat-Bulk.

Unit cell a=3.500 b=3.500 c=21.030 alpha=90.00 beta=90.00 gamma=90.00
Space group I4/mmm (No. 139)
Unique sites:
1 Cd 0.000 0.000 0.070 x4
2 Cd 0.000 0.000 0.349 x4
3 Pt 0.000 0.000 0.213 x4
4 Pt 0.000 0.000 0.500 x2

Summary:
Formation enthalpy at 0 K = -0.159 eV per atom
Distance to the lowest polymorph of the same formula = 115 meV per atom
Raw total energy = -3.271 eV/atom
Total magnetic moment = 0.0 μB/cell

8.
First-principles (PBE-GGA) data for a relaxed Cd4Pt3 crystal, as listed in Alexandria via LeMat-Bulk.

Unit cell a=5.4792 b=5.4792 c=5.1562 alpha=90.00 beta=90.00 gamma=120.00
Space group P6/mmm (No. 191)
Unique sites:
1 Cd 0.0000 0.0000 0.2497 x2
2 Cd 0.3333 0.6667 0.0000 x2
3 Pt 0.0000 0.5000 0.5000 x3

Summary:
Formation enthalpy at 0 K = -0.159 eV per atom
Distance to the lowest polymorph of the same formula = 115 meV per atom
Raw total energy = -3.270 eV/atom
Total magnetic moment = 0.0 μB/cell

9.
First-principles (PBE-GGA) data for a relaxed CdPt2 crystal, as listed in Alexandria via LeMat-Bulk.

Unit cell a=10.668 b=2.868 c=6.869 alpha=90.00 beta=105.88 gamma=90.00
Space group Cm (No. 8)
Unique sites:
1 Cd 0.000 0.000 0.000 x2
2 Cd 0.180 0.500 0.348 x2
3 Pt 0.057 0.000 0.617 x2
4 Pt 0.224 0.500 0.950 x2
5 Pt 0.336 0.000 0.674 x2
6 Pt 0.401 0.000 0.286 x2

Summary:
Formation enthalpy at 0 K = -0.172 eV per atom
Raw total energy = -4.504 eV/atom
Total magnetic moment = 0.0 μB/cell

10.
First-principles (PBE-GGA) data for a relaxed Cd2Pt crystal, as listed in Alexandria via LeMat-Bulk.

Unit cell a=5.558 b=4.656 c=8.770 alpha=90.00 beta=90.00 gamma=90.00
Space group Pnma (No. 62)
Unique sites:
1 Cd 0.096 0.250 0.189 x4
2 Cd 0.173 0.250 0.535 x4
3 Pt 0.192 0.250 0.857 x4

Summary:
Formation enthalpy at 0 K = -0.253 eV per atom
Raw total energy = -2.877 eV/atom
Total magnetic moment = 0.0 μB/cell

11.
First-principles (PBE-GGA) data for a relaxed Cd2Pt3 crystal, as listed in Alexandria via LeMat-Bulk.

Unit cell a=2.9264 b=2.9264 c=34.5563 alpha=90.00 beta=90.00 gamma=120.00
Space group R-3m (No. 166, hexagonal axes)
Unique sites:
1 Cd 0.0000 0.0000 0.0990 x6
2 Pt 0.0000 0.0000 0.3003 x6
3 Pt 0.0000 0.0000 0.5000 x3

Summary:
Formation enthalpy at 0 K = -0.173 eV per atom
Distance to the lowest polymorph of the same formula = 86 meV per atom
Raw total energy = -4.163 eV/atom
Total magnetic moment = 0.0 μB/cell

12.
First-principles (PBE-GGA) data for a relaxed Cd2Pt crystal, as listed in Alexandria via LeMat-Bulk.

Unit cell a=10.648 b=2.985 c=7.586 alpha=90.00 beta=109.57 gamma=90.00
Space group C2/m (No. 12)
Unique sites:
1 Cd 0.140 0.000 0.033 x4
2 Cd 0.162 0.000 0.618 x4
3 Pt 0.044 0.500 0.284 x4

Summary:
Formation enthalpy at 0 K = -0.230 eV per atom
Raw total energy = -2.853 eV/atom
Total magnetic moment = 0.0 μB/cell